## KBeIn3 (PBE)

Data for crystalline KBeIn3 at its relaxed geometry.

Summary:
relative energy among the computed polymorphs = 0.0000 eV/atom
symmetry = Pm-3m (221)

abc: 5.1455 5.1455 5.1455
angles: 90.00 90.00 90.00
Last column: nearest neighbours and their distance in Å.
Positions (direct):
1 K 0.0000 0.0000 0.0000  12 In 3.64
2 Be 0.5000 0.5000 0.5000  6 In 2.57
3 In 0.0000 0.5000 0.5000  2 Be 2.57
4 In 0.5000 0.0000 0.5000  2 Be 2.57
5 In 0.5000 0.5000 0.0000  2 Be 2.57

***

## NdCdGa2Pd2 (PBE)

Data for crystalline NdCdGa2Pd2 at its relaxed geometry.

Summary:
final energy = -4.320 eV/atom
symmetry = P-3m1 (164)

abc: 4.4667 4.4667 6.8315
angles: 90.00 90.00 120.00
Last column: nearest neighbours and their distance in Å.
Positions (direct):
1 Nd 0.0000 0.0000 0.0000  6 Ga 3.18, 6 Pd 3.36, 2 Cd 3.42
2 Cd 0.0000 0.0000 0.5000  6 Pd 2.87, 6 Ga 3.01
3 Ga 0.3333 0.6667 0.7267  4 Pd 2.59-2.81
4 Ga 0.6667 0.3333 0.2733  4 Pd 2.59-2.81
5 Pd 0.3333 0.6667 0.3155  4 Ga 2.59-2.81, 3 Cd 2.87
6 Pd 0.6667 0.3333 0.6845  4 Ga 2.59-2.81, 3 Cd 2.87

***

## PrSmPtSe (PBE)

Data for crystalline PrSmPtSe at its relaxed geometry.

Summary:
symmetry = R3m (160)
raw formation energy = -1.435 eV/atom

abc: 7.6744 7.6744 7.6744
angles: 31.33 31.33 31.33
Last column: nearest neighbours and their distance in Å.
Positions (direct):
1 Pr 0.0000 0.0000 0.0000  3 Pt 2.95, 3 Se 3.11
2 Sm 0.5121 0.5121 0.5121  3 Pt 2.91, 3 Se 3.07
3 Pt 0.2541 0.2541 0.2541  3 Sm 2.91, 3 Pr 2.95
4 Se 0.7577 0.7577 0.7577  3 Sm 3.07, 3 Pr 3.11

***

## Na2SmHf2Se6 (PBE)

Data for crystalline Na2SmHf2Se6 at its relaxed geometry.

Summary:
symmetry = C2/m (12)
raw formation energy = -1.431 eV/atom

abc: 6.8386 6.8386 7.5013
angles: 98.37 98.37 120.58
Last column: nearest neighbours and their distance in Å.
Positions (direct):
1 Na 0.1598 0.8402 0.0000  6 Se 2.98-3.05
2 Na 0.8402 0.1598 0.0000  6 Se 2.98-3.05
3 Sm 0.0000 0.0000 0.5000  6 Se 2.91
4 Hf 0.3331 0.6669 0.5000  6 Se 2.72
5 Hf 0.6669 0.3331 0.5000  6 Se 2.72
6 Se 0.0707 0.4267 0.7227  2 Hf 2.72, 1 Sm 2.91, 1 Na 2.98
7 Se 0.2868 0.2868 0.2768  2 Hf 2.72, 1 Sm 2.91
8 Se 0.4267 0.0707 0.7227  2 Hf 2.72, 1 Sm 2.91, 1 Na 2.98
9 Se 0.5733 0.9293 0.2773  2 Hf 2.72, 1 Sm 2.91, 1 Na 2.98
10 Se 0.7132 0.7132 0.7232  2 Hf 2.72, 1 Sm 2.91
11 Se 0.9293 0.5733 0.2773  2 Hf 2.72, 1 Sm 2.91, 1 Na 2.98

***

## LiErNpN3 (PBE)

Data for crystalline LiErNpN3 at its relaxed geometry.

Summary:
symmetry = P2_1/m (11)
raw formation energy = -1.168 eV/atom

abc: 5.9369 3.4664 7.8842
angles: 90.00 90.49 90.00
Last column: nearest neighbours and their distance in Å.
Positions (direct):
1 Li 0.2177 0.2500 0.0175  3 N 2.20-2.38
2 Li 0.7823 0.7500 0.9825  3 N 2.20-2.38
3 Er 0.4262 0.7500 0.6897  6 N 2.30-2.53
4 Er 0.5738 0.2500 0.3103  6 N 2.30-2.53
5 Np 0.0775 0.7500 0.3218  3 N 2.06-2.20
6 Np 0.9225 0.2500 0.6782  3 N 2.06-2.20
7 N 0.0710 0.7500 0.8093  2 Np 2.20, 1 Li 2.20, 1 Er 2.32
8 N 0.2402 0.2500 0.5009  3 Np 2.36-2.43, 3 Er 2.50-2.53
9 N 0.3746 0.7500 0.1889  1 Np 2.06, 2 Er 2.30
10 N 0.6254 0.2500 0.8111  1 Np 2.06, 2 Er 2.30
11 N 0.7598 0.7500 0.4991  3 Np 2.36-2.43, 3 Er 2.50-2.53
12 N 0.9290 0.2500 0.1907  2 Np 2.20, 1 Li 2.20, 1 Er 2.32

***

## Rb2GaCl5 (PBE)

Data for crystalline Rb2GaCl5 at its relaxed geometry.

Summary:
relative energy among the computed polymorphs = 0.0000 eV/atom
symmetry = I4mm (107)
raw formation energy = -1.569 eV/atom

abc: 7.1056 7.1056 7.1056
angles: 116.17 116.17 96.78
Last column: nearest neighbours and their distance in Å.
Positions (direct):
1 Rb 0.0000 0.5000 0.5000  10 Cl 3.51-3.77
2 Rb 0.5000 0.0000 0.5000  10 Cl 3.51-3.77
3 Ga 0.2070 0.2070 0.0000  5 Cl 2.22-2.35
4 Cl 0.0437 0.0437 0.5674  1 Ga 2.35
5 Cl 0.0437 0.4764 0.0000  1 Ga 2.35
6 Cl 0.4764 0.0437 0.0000  1 Ga 2.35
7 Cl 0.4764 0.4764 0.4326  1 Ga 2.35
8 Cl 0.9717 0.9717 0.0000  1 Ga 2.22

***

| no. | size of the total moment (μB/cell) |
| --- | --- |
| 1 | 0.00 |
| 2 | 0.00 |
| 3 | 0.00 |
| 4 | 0.00 |
| 5 | 4.00 |
| 6 | 0.00 |